Density functional theory data (GGA-PBE) for a relaxed Ba3VP crystal.

total DFT energy (no corrections)	-3.930	eV per atom
mass density	3.41	g/cm3
total moment	5.7	μB/cell
DOS(E_F)	4.478	states/eV/cell
formation enthalpy at 0 K	0.129	eV per atom
excess energy over the best structure of this formula in the dataset	0.0	kJ/mol of atoms

Cell: 6.220 6.220 6.220 Å, 90.00 90.00 90.00°
Space group Pm-3m (No. 221)
One atom of each set of equivalent atoms:
Ba  0.000  0.000  0.500
V  0.500  0.500  0.500
P  0.000  0.000  0.000

Density functional theory data (GGA-PBE) for a relaxed BaPW2 crystal.

total DFT energy (no corrections)	-6.844	eV per atom
mass density	10.34	g/cm3
total moment	0.0	μB/cell
DOS(E_F)	6.203	states/eV/cell
formation enthalpy at 0 K	1.466	eV per atom

Cell: 4.079 4.079 5.174 Å, 90.00 90.00 90.00°
Space group P4/mmm (No. 123)
One atom of each set of equivalent atoms:
Ba  0.000  0.000  0.000
P  0.500  0.500  0.000
W  0.000  0.500  0.500

Density functional theory data (GGA-PBE) for a relaxed BaP2W crystal.

total DFT energy (no corrections)	-6.495	eV per atom
mass density	6.43	g/cm3
total moment	0.0	μB/cell
DOS(E_F)	3.694	states/eV/cell
formation enthalpy at 0 K	-0.071	eV per atom
excess energy over the best structure of this formula in the dataset	30.6	kJ/mol of atoms

Cell: 3.278 6.607 9.140 Å, 90.00 90.00 90.00°
Space group Immm (No. 71)
One atom of each set of equivalent atoms:
Ba  0.000  0.000  0.000
P  0.000  0.500  0.193
W  0.000  0.000  0.500

Density functional theory data (GGA-PBE) for a relaxed BaPW crystal.

total DFT energy (no corrections)	-6.667	eV per atom
mass density	8.62	g/cm3
total moment	0.0	μB/cell
DOS(E_F)	2.908	states/eV/cell
formation enthalpy at 0 K	0.095	eV per atom
excess energy over the best structure of this formula in the dataset	0.0	kJ/mol of atoms

Cell: 3.332 3.332 12.231 Å, 90.00 90.00 90.00°
Space group I4mm (No. 107)
One atom of each set of equivalent atoms:
Ba  0.000  0.000  0.000
P  0.000  0.000  0.720
W  0.000  0.000  0.288

Density functional theory data (GGA-PBE) for a relaxed BaPW crystal.

total DFT energy (no corrections)	-6.664	eV per atom
mass density	7.49	g/cm3
total moment	0.0	μB/cell
DOS(E_F)	4.101	states/eV/cell
formation enthalpy at 0 K	0.098	eV per atom
excess energy over the best structure of this formula in the dataset	0.2	kJ/mol of atoms

Cell: 4.1342 4.1342 5.2719 Å, 90.00 90.00 120.00°
Space group P-6m2 (No. 187)
One atom of each set of equivalent atoms:
Ba  0.0000  0.0000  0.0000
P  0.6667  0.3333  0.5000
W  0.3333  0.6667  0.5000

Density functional theory data (GGA-PBE) for a relaxed BaPW2 crystal.

total DFT energy (no corrections)	-6.925	eV per atom
mass density	10.78	g/cm3
total moment	0.0	μB/cell
DOS(E_F)	5.599	states/eV/cell
formation enthalpy at 0 K	1.385	eV per atom

Cell: 3.315 4.789 5.202 Å, 90.00 90.00 90.00°
Space group Pmmm (No. 47)
One atom of each set of equivalent atoms:
Ba  0.000  0.000  0.000
P  0.500  0.500  0.000
W  0.000  0.500  0.500
W  0.500  0.000  0.500

Density functional theory data (GGA-PBE) for a relaxed BaP2W crystal.

total DFT energy (no corrections)	-6.402	eV per atom
mass density	6.70	g/cm3
total moment	0.0	μB/cell
DOS(E_F)	3.312	states/eV/cell
formation enthalpy at 0 K	0.022	eV per atom
excess energy over the best structure of this formula in the dataset	39.5	kJ/mol of atoms

Cell: 3.483 3.483 7.828 Å, 90.00 90.00 90.00°
Space group P4mm (No. 99)
One atom of each set of equivalent atoms:
Ba  0.000  0.000  0.000
P  0.000  0.000  0.597
P  0.500  0.500  0.246
W  0.500  0.500  0.534

Density functional theory data (GGA-PBE) for a relaxed BaPW2 crystal.

total DFT energy (no corrections)	-7.981	eV per atom
mass density	8.63	g/cm3
total moment	0.0	μB/cell
DOS(E_F)	5.482	states/eV/cell
formation enthalpy at 0 K	0.328	eV per atom

Cell: 7.594 4.382 6.693 Å, 90.00 112.13 90.00°
Space group C2/m (No. 12)
One atom of each set of equivalent atoms:
Ba  0.000  0.000  0.000
P  0.000  0.500  0.500
W  0.184  0.000  0.552

Density functional theory data (GGA-PBE) for a relaxed BaP2W crystal.

total DFT energy (no corrections)	-6.684	eV per atom
mass density	8.20	g/cm3
total moment	0.0	μB/cell
DOS(E_F)	1.373	states/eV/cell
formation enthalpy at 0 K	-0.260	eV per atom
excess energy over the best structure of this formula in the dataset	12.3	kJ/mol of atoms

Cell: 3.213 3.230 7.471 Å, 90.00 90.14 90.00°
Space group P2/m (No. 10)
One atom of each set of equivalent atoms:
Ba  0.000  0.000  0.000
P  0.500  0.500  0.320
W  0.000  0.000  0.500

Density functional theory data (GGA-PBE) for a relaxed BaP2W crystal.

total DFT energy (no corrections)	-5.737	eV per atom
mass density	7.78	g/cm3
total moment	0.0	μB/cell
DOS(E_F)	7.693	states/eV/cell
formation enthalpy at 0 K	0.687	eV per atom
excess energy over the best structure of this formula in the dataset	103.7	kJ/mol of atoms

Cell: 7.242 7.379 3.121 Å, 90.00 101.14 90.00°
Space group C2/m (No. 12)
One atom of each set of equivalent atoms:
Ba  0.000  0.000  0.000
P  0.250  0.250  0.500
W  0.000  0.500  0.000

Density functional theory data (GGA-PBE) for a relaxed BaP2W crystal.

total DFT energy (no corrections)	-6.802	eV per atom
mass density	7.38	g/cm3
total moment	0.0	μB/cell
DOS(E_F)	1.898	states/eV/cell
formation enthalpy at 0 K	-0.378	eV per atom
excess energy over the best structure of this formula in the dataset	0.9	kJ/mol of atoms

Cell: 3.6953 3.6953 21.8741 Å, 90.00 90.00 120.00°
Space group R3m (No. 160, hexagonal axes)
One atom of each set of equivalent atoms:
Ba  0.0000  0.0000  0.0000
P  0.0000  0.0000  0.5665
P  0.0000  0.0000  0.7773
W  0.0000  0.0000  0.1741

Density functional theory data (GGA-PBE) for a relaxed BaPW2 crystal.

total DFT energy (no corrections)	-7.629	eV per atom
mass density	10.70	g/cm3
total moment	0.0	μB/cell
DOS(E_F)	3.458	states/eV/cell
formation enthalpy at 0 K	0.681	eV per atom

Cell: 3.148 3.148 8.389 Å, 90.00 90.00 90.00°
Space group P4/mmm (No. 123)
One atom of each set of equivalent atoms:
Ba  0.000  0.000  0.000
P  0.000  0.000  0.500
W  0.500  0.500  0.348

Density functional theory data (GGA-PBE) for a relaxed BaP2W crystal.

total DFT energy (no corrections)	-6.678	eV per atom
mass density	5.96	g/cm3
total moment	0.0	μB/cell
DOS(E_F)	5.841	states/eV/cell
formation enthalpy at 0 K	-0.255	eV per atom
excess energy over the best structure of this formula in the dataset	12.8	kJ/mol of atoms

Cell: 4.252 3.779 13.274 Å, 90.00 90.00 90.00°
Space group Amm2 (No. 38)
One atom of each set of equivalent atoms:
Ba  0.000  0.000  0.000
P  0.000  0.000  0.304
P  0.500  0.000  0.623
W  0.500  0.000  0.232

Density functional theory data (GGA-PBE) for a relaxed BaPW crystal.

total DFT energy (no corrections)	-4.824	eV per atom
mass density	5.83	g/cm3
total moment	18.2	μB/cell
DOS(E_F)	10.075	states/eV/cell
formation enthalpy at 0 K	1.938	eV per atom
excess energy over the best structure of this formula in the dataset	177.8	kJ/mol of atoms

Cell: 7.374 7.374 7.374 Å, 90.00 90.00 90.00°
Space group F-43m (No. 216)
One atom of each set of equivalent atoms:
Ba  0.000  0.000  0.000
P  0.250  0.250  0.750
W  0.250  0.250  0.250

Density functional theory data (GGA-PBE) for a relaxed Ba3PW crystal.

total DFT energy (no corrections)	-4.170	eV per atom
mass density	4.40	g/cm3
total moment	5.6	μB/cell
DOS(E_F)	4.851	states/eV/cell
formation enthalpy at 0 K	0.656	eV per atom
excess energy over the best structure of this formula in the dataset	0.0	kJ/mol of atoms

Cell: 6.185 6.185 6.185 Å, 90.00 90.00 90.00°
Space group Pm-3m (No. 221)
One atom of each set of equivalent atoms:
Ba  0.000  0.000  0.500
P  0.000  0.000  0.000
W  0.500  0.500  0.500

Density functional theory data (GGA-PBE) for a relaxed BaPW2 crystal.

total DFT energy (no corrections)	-7.986	eV per atom
mass density	9.43	g/cm3
total moment	0.3	μB/cell
DOS(E_F)	5.448	states/eV/cell
formation enthalpy at 0 K	0.324	eV per atom

Cell: 8.359 3.347 6.876 Å, 90.00 101.19 90.00°
Space group Cm (No. 8)
One atom of each set of equivalent atoms:
Ba  0.000  0.000  0.000
P  0.263  0.000  0.660
W  0.032  0.500  0.532
W  0.297  0.500  0.392

Density functional theory data (GGA-PBE) for a relaxed BaPW2 crystal.

total DFT energy (no corrections)	-7.444	eV per atom
mass density	11.00	g/cm3
total moment	0.5	μB/cell
DOS(E_F)	15.909	states/eV/cell
formation enthalpy at 0 K	0.865	eV per atom

Cell: 3.1686 3.1686 27.9060 Å, 90.00 90.00 120.00°
Space group R-3m (No. 166, hexagonal axes)
One atom of each set of equivalent atoms:
Ba  0.0000  0.0000  0.0000
P  0.0000  0.0000  0.5000
W  0.0000  0.0000  0.2255

Density functional theory data (GGA-PBE) for a relaxed BaP2W crystal.

total DFT energy (no corrections)	-6.685	eV per atom
mass density	7.38	g/cm3
total moment	0.0	μB/cell
DOS(E_F)	3.292	states/eV/cell
formation enthalpy at 0 K	-0.261	eV per atom
excess energy over the best structure of this formula in the dataset	12.2	kJ/mol of atoms

Cell: 3.328 3.542 14.617 Å, 90.00 90.00 90.00°
Space group Imm2 (No. 44)
One atom of each set of equivalent atoms:
Ba  0.000  0.000  0.000
P  0.000  0.000  0.633
P  0.000  0.500  0.815
W  0.000  0.500  0.250

Density functional theory data (GGA-PBE) for a relaxed BaPW2 crystal.

total DFT energy (no corrections)	-8.015	eV per atom
mass density	10.58	g/cm3
total moment	0.0	μB/cell
DOS(E_F)	3.286	states/eV/cell
formation enthalpy at 0 K	0.294	eV per atom

Cell: 3.308 3.308 7.685 Å, 90.00 90.00 90.00°
Space group P4mm (No. 99)
One atom of each set of equivalent atoms:
Ba  0.000  0.000  0.000
P  0.500  0.500  0.320
W  0.000  0.000  0.483
W  0.500  0.500  0.657

Density functional theory data (GGA-PBE) for a relaxed BaPW2 crystal.

total DFT energy (no corrections)	-8.136	eV per atom
mass density	9.57	g/cm3
total moment	0.0	μB/cell
DOS(E_F)	1.845	states/eV/cell
formation enthalpy at 0 K	0.174	eV per atom

Cell: 3.357 4.178 6.830 Å, 90.00 103.86 90.00°
Space group Pm (No. 6)
One atom of each set of equivalent atoms:
Ba  0.000  0.000  0.000
P  0.628  0.500  0.263
W  0.258  0.500  0.530
W  0.737  0.000  0.486